VASP calculation (PBE) on a relaxed Mg6Cd12Cu crystal.

Properties
The calculated volume comes out at 21.68 Å³ per atom. The value obtained for the total energy is -25.735 eV per cell. Its crystal system is trigonal. The formation energy comes out at -0.0574 eV/atom.

Lattice parameters (Å, degrees): 7.448 7.448 7.448 92.65 92.65 92.65
Atoms (fractional coordinates):
Cd1 0.470 0.199 0.555
Cd2 0.801 0.445 0.530
Cd3 0.956 0.632 0.861
Cd4 0.632 0.861 0.956
Cd5 0.199 0.555 0.470
Cd6 0.530 0.801 0.445
Mg1 0.741 0.115 0.270
Cd7 0.555 0.470 0.199
Mg2 0.885 0.730 0.259
Cd8 0.139 0.044 0.368
Mg3 0.259 0.885 0.730
Cd9 0.861 0.956 0.632
Cd10 0.044 0.368 0.139
Mg4 0.115 0.270 0.741
Mg5 0.270 0.741 0.115
Mg6 0.730 0.259 0.885
Cd11 0.445 0.530 0.801
Cu1 0.000 0.000 0.000
Cd12 0.368 0.139 0.044

VASP calculation (PBE) on a relaxed Cs8Hg2Br crystal.

Properties
The calculated volume comes out at 78.51 Å³ per atom. For the raw formation energy, the calculation gives -382 meV per atom. The value obtained for the total energy is -13.308 eV per cell. Its crystal system is monoclinic.

Lattice parameters (Å, degrees): 5.448 10.587 17.600 120.16 98.90 90.00
Atoms (fractional coordinates):
Cs1 0.040 0.849 0.080
Cs2 0.319 0.109 0.637
Cs3 0.681 0.891 0.363
Cs4 0.397 0.618 0.794
Cs5 0.603 0.382 0.206
Br1 0.500 0.000 0.000
Cs6 0.789 0.699 0.578
Cs7 0.211 0.301 0.422
Hg1 0.798 0.337 0.596
Cs8 0.960 0.151 0.920
Hg2 0.202 0.663 0.404

VASP calculation (PBE) on a relaxed Ho5InPt2 crystal.

Properties
The calculated volume comes out at 25.65 Å³ per atom. The value obtained for the total energy is -88.710 eV per cell. Its crystal system is tetragonal. The formation energy comes out at -0.8308 eV/atom.

Lattice parameters (Å, degrees): 7.834 7.834 8.684 116.81 116.81 90.00
Atoms (fractional coordinates):
Ho1 0.703 0.203 0.726
Ho2 0.500 0.500 0.000
Pt1 0.137 0.363 0.000
Pt2 0.363 0.863 0.000
Ho3 0.978 0.478 0.274
Ho4 0.797 0.978 0.274
Ho5 0.203 0.022 0.726
Pt3 0.863 0.637 0.000
Pt4 0.637 0.137 0.000
Ho6 0.522 0.703 0.726
In1 0.750 0.750 0.500
Ho7 0.000 0.000 0.000
Ho8 0.297 0.797 0.274
Ho9 0.478 0.297 0.274
Ho10 0.022 0.522 0.726
In2 0.250 0.250 0.500

VASP calculation (PBE) on a relaxed MgFeCu3 crystal.

Properties
The calculated volume comes out at 17.75 Å³ per atom. The value obtained for the total energy is -18.548 eV per cell. Its crystal system is cubic. The formation energy comes out at 0.7595 eV/atom. The calculation puts the distance to the lowest polymorph of the same formula at 0 meV per atom.

Lattice parameters (Å, degrees): 4.460 4.460 4.460 90.00 90.00 90.00
Site moments in Bohr magnetons follow the coordinates.
Atoms (fractional coordinates):
Mg1 0.500 0.500 0.500  0.00
Cu1 0.500 0.000 0.000  0.05
Cu2 0.000 0.500 0.000  0.14
Cu3 0.000 0.000 0.500  0.24
Fe1 0.000 0.000 0.000  2.49

VASP calculation (PBE) on a relaxed Gd2ThIn crystal.

Properties
The calculated volume comes out at 29.42 Å³ per atom. The value obtained for the total energy is -39.202 eV per cell. Its crystal system is tetragonal. The formation energy comes out at -0.2206 eV/atom. The calculation puts the distance to the lowest polymorph of the same formula at 18 meV per atom.

Lattice parameters (Å, degrees): 4.885 4.908 4.908 90.00 90.00 90.00
Site moments in Bohr magnetons follow the coordinates.
Atoms (fractional coordinates):
Th1 0.500 0.500 0.500  0.09
In1 0.500 0.000 0.000  -0.04
Gd1 0.000 0.500 0.000  7.17
Gd2 0.000 0.000 0.500  7.17

VASP calculation (PBE) on a relaxed LiB2C2 crystal.

Properties
The calculated volume comes out at 9.19 Å³ per atom. The value obtained for the total energy is -135.264 eV per cell. Its crystal system is monoclinic. The formation energy comes out at -0.0199 eV/atom. The calculation puts the distance to the lowest polymorph of the same formula at 50 meV per atom.

Lattice parameters (Å, degrees): 7.717 7.717 9.437 107.25 107.25 20.06
Atoms (fractional coordinates):
B1 0.122 0.122 0.392
B2 0.869 0.869 0.607
C1 0.122 0.122 0.227
C2 0.132 0.132 0.730
C3 0.868 0.868 0.770
Li1 0.998 0.998 0.980
C4 0.883 0.883 0.276
C5 0.623 0.623 0.478
B3 0.878 0.878 0.109
C6 0.372 0.372 0.521
B4 0.633 0.633 0.646
B5 0.368 0.368 0.855
Li2 0.750 0.750 0.369
B6 0.379 0.379 0.360
C7 0.622 0.622 0.975
Li3 0.001 0.001 0.521
B7 0.624 0.624 0.140
Li4 0.501 0.501 0.251
B8 0.127 0.127 0.892
C8 0.380 0.380 0.025

VASP calculation (PBE) on a relaxed NbCuTe2N crystal.

Properties
The calculated volume comes out at 19.77 Å³ per atom. For the raw formation energy, the calculation gives 874 meV per atom. The value obtained for the total energy is -24.404 eV per cell. Its crystal system is tetragonal. The calculation puts the distance to the lowest polymorph of the same formula at 474 meV per atom.

Lattice parameters (Å, degrees): 5.295 5.295 3.526 90.00 90.00 90.00
Site moments in Bohr magnetons follow the coordinates.
Atoms (fractional coordinates):
Te1 0.500 0.000 0.000  -0.03
Cu1 0.000 0.000 0.000  0.08
Nb1 0.500 0.500 0.500  1.46
N1 0.000 0.000 0.500  0.30
Te2 0.000 0.500 0.000  -0.03

VASP calculation (PBE) on a relaxed HfSnOF2 crystal.

Properties
The calculated volume comes out at 18.04 Å³ per atom. For the raw formation energy, the calculation gives -1319 meV per atom. The value obtained for the total energy is -29.252 eV per cell. Its crystal system is tetragonal. The calculation puts the distance to the lowest polymorph of the same formula at 858 meV per atom.

Lattice parameters (Å, degrees): 4.876 3.794 4.876 90.00 90.00 90.00
Atoms (fractional coordinates):
Sn1 0.500 0.500 0.500
F1 0.500 0.000 0.000
O1 0.000 0.000 0.000
F2 0.000 0.000 0.500
Hf1 0.000 0.500 0.000

VASP calculation (PBE) on a relaxed Na2BeP crystal.

Properties
The calculated volume comes out at 18.15 Å³ per atom. The value obtained for the total energy is -19.492 eV per cell. Its crystal system is tetragonal. The formation energy comes out at 0.5070 eV/atom. The calculation puts the distance to the lowest polymorph of the same formula at 551 meV per atom.

Lattice parameters (Å, degrees): 3.808 3.808 10.370 79.42 79.42 90.00
Atoms (fractional coordinates):
Na1 0.375 0.367 0.750
Be1 0.500 0.500 0.000
Na2 0.875 0.883 0.750
Na3 0.117 0.625 0.250
P1 0.750 0.250 0.500
Na4 0.633 0.125 0.250
Be2 0.250 0.750 0.500
P2 0.000 0.000 0.000

VASP calculation (PBE) on a relaxed LiCrBr crystal.

Properties
The calculated volume comes out at 22.35 Å³ per atom. For the raw formation energy, the calculation gives 53 meV per atom. The value obtained for the total energy is -13.052 eV per cell. Its crystal system is orthorhombic. The calculation puts the distance to the lowest polymorph of the same formula at 42 meV per atom.

Lattice parameters (Å, degrees): 6.858 6.457 3.475 81.36 68.58 30.06
Site moments in Bohr magnetons follow the coordinates.
Atoms (fractional coordinates):
Li1 0.650 0.650 0.350  0.01
Br1 0.008 0.008 0.992  0.02
Cr1 0.343 0.343 0.657  4.05

VASP calculation (PBE) on a relaxed Nd3SmPb crystal.

Properties
The calculated volume comes out at 33.89 Å³ per atom. The value obtained for the total energy is -94.336 eV per cell. Its crystal system is monoclinic. The formation energy comes out at -0.1706 eV/atom.

Lattice parameters (Å, degrees): 8.796 9.294 9.793 122.16 90.00 90.00
Atoms (fractional coordinates):
Sm1 0.064 0.282 0.712
Pb1 0.749 0.095 0.048
Nd1 0.936 0.713 0.924
Nd2 0.698 0.411 0.956
Pb2 0.751 0.095 0.548
Nd3 0.079 0.081 0.290
Nd4 0.064 0.287 0.076
Sm2 0.436 0.282 0.212
Nd5 0.421 0.081 0.790
Nd6 0.302 0.589 0.044
Sm3 0.564 0.718 0.788
Pb3 0.249 0.905 0.452
Nd7 0.564 0.713 0.424
Nd8 0.921 0.919 0.710
Nd9 0.198 0.589 0.544
Nd10 0.802 0.411 0.456
Nd11 0.436 0.287 0.576
Sm4 0.936 0.718 0.288
Pb4 0.251 0.905 0.952
Nd12 0.579 0.919 0.210

VASP calculation (PBE) on a relaxed AcPmTm4 crystal.

Properties
The calculated volume comes out at 33.29 Å³ per atom. The value obtained for the total energy is -53.006 eV per cell. Its crystal system is triclinic. The formation energy comes out at 0.0404 eV/atom.

Lattice parameters (Å, degrees): 7.324 12.067 9.277 145.85 113.15 81.10
Atoms (fractional coordinates):
Tm1 0.334 0.949 0.136
Ac1 0.332 0.270 0.801
Pm1 0.839 0.612 0.478
Tm2 0.839 0.282 0.811
Tm3 0.830 0.945 0.133
Pm2 0.161 0.388 0.522
Tm4 0.161 0.718 0.189
Tm5 0.170 0.055 0.867
Tm6 0.665 0.382 0.517
Ac2 0.668 0.730 0.199
Tm7 0.666 0.051 0.864
Tm8 0.335 0.618 0.483

VASP calculation (PBE) on a relaxed LaMg6BO8 crystal.

Properties
The calculated volume comes out at 11.53 Å³ per atom. For the raw formation energy, the calculation gives -2078 meV per atom. The value obtained for the total energy is -94.085 eV per cell. Its crystal system is tetragonal. The calculation puts the distance to the lowest polymorph of the same formula at 78 meV per atom.

Lattice parameters (Å, degrees): 4.488 4.488 9.163 90.00 90.00 90.00
Atoms (fractional coordinates):
B1 0.000 0.000 0.500
O1 0.500 0.000 0.000
O2 0.000 0.000 0.743
Mg1 0.000 0.500 0.718
La1 0.000 0.000 0.000
Mg2 0.500 0.000 0.282
O3 0.000 0.500 0.500
Mg3 0.500 0.500 0.500
O4 0.500 0.500 0.746
Mg4 0.500 0.000 0.718
O5 0.000 0.000 0.257
O6 0.000 0.500 0.000
Mg5 0.500 0.500 0.000
O7 0.500 0.000 0.500
O8 0.500 0.500 0.254
Mg6 0.000 0.500 0.282

VASP calculation (PBE) on a relaxed KGa3Hg crystal.

Properties
The calculated volume comes out at 31.91 Å³ per atom. The value obtained for the total energy is -9.026 eV per cell. Its crystal system is cubic. The formation energy comes out at 0.2908 eV/atom. The calculation puts the distance to the lowest polymorph of the same formula at 0 meV per atom.

Lattice parameters (Å, degrees): 5.424 5.424 5.424 90.00 90.00 90.00
Atoms (fractional coordinates):
Ga1 0.000 0.000 0.500
Hg1 0.000 0.000 0.000
K1 0.500 0.500 0.500
Ga2 0.000 0.500 0.000
Ga3 0.500 0.000 0.000

VASP calculation (PBE) on a relaxed BaHg8Pd4 crystal.

Properties
The calculated volume comes out at 21.93 Å³ per atom. The value obtained for the total energy is -28.196 eV per cell. Its crystal system is tetragonal. The formation energy comes out at -0.2375 eV/atom.

Lattice parameters (Å, degrees): 5.815 7.582 7.582 81.54 67.45 67.45
Atoms (fractional coordinates):
Pd1 0.500 0.000 0.500
Hg1 0.500 0.222 0.778
Hg2 0.000 0.659 0.341
Pd2 0.000 0.000 0.500
Hg3 0.000 0.341 0.659
Pd3 0.500 0.500 0.000
Hg4 0.278 0.222 0.222
Hg5 0.341 0.659 0.659
Pd4 0.000 0.500 0.000
Hg6 0.659 0.341 0.341
Ba1 0.000 0.000 0.000
Hg7 0.500 0.778 0.222
Hg8 0.722 0.778 0.778

VASP calculation (PBE) on a relaxed VTe4Rh crystal.

Properties
The calculated volume comes out at 26.06 Å³ per atom. For the raw formation energy, the calculation gives -380 meV per atom. The value obtained for the total energy is -31.315 eV per cell. Its crystal system is monoclinic. The calculation puts the distance to the lowest polymorph of the same formula at 0 meV per atom.

Lattice parameters (Å, degrees): 3.742 7.121 6.277 103.88 90.01 105.24
Atoms (fractional coordinates):
Te1 0.403 0.806 0.110
Rh1 0.004 0.008 0.954
Te2 0.101 0.203 0.388
Te3 0.858 0.715 0.582
V1 0.495 0.990 0.560
Te4 0.639 0.279 0.905

VASP calculation (PBE) on a relaxed LaZnSiNi6 crystal.

Properties
The calculated volume comes out at 14.39 Å³ per atom. For the raw formation energy, the calculation gives -209 meV per atom. The value obtained for the total energy is -96.387 eV per cell. Its crystal system is orthorhombic.

Lattice parameters (Å, degrees): 7.442 5.177 8.110 108.61 117.31 90.00
Atoms (fractional coordinates):
Zn1 0.500 0.000 0.500
Ni1 0.321 0.093 0.183
La1 0.747 0.497 0.494
La2 0.253 0.503 0.506
Zn2 0.000 0.000 0.500
Ni2 0.679 0.907 0.817
Ni3 0.002 0.252 0.005
Si1 0.500 0.000 0.000
Ni4 0.138 0.411 0.817
Ni5 0.364 0.114 0.728
Ni6 0.636 0.886 0.272
Ni7 0.679 0.411 0.817
Ni8 0.138 0.907 0.817
Si2 0.500 0.500 0.000
Ni9 0.862 0.589 0.183
Ni10 0.321 0.589 0.183
Ni11 0.998 0.748 0.995
Ni12 0.862 0.093 0.183

VASP calculation (PBE) on a relaxed Pr2Ga3Cu4Sn crystal.

Properties
The calculated volume comes out at 19.08 Å³ per atom. The value obtained for the total energy is -43.294 eV per cell. Its crystal system is tetragonal. The formation energy comes out at -0.4267 eV/atom.

Lattice parameters (Å, degrees): 4.316 4.316 10.239 90.00 90.00 90.00
Atoms (fractional coordinates):
Cu1 0.000 0.500 0.357
Pr1 0.500 0.000 0.236
Ga1 0.000 0.500 0.121
Cu2 0.500 0.500 0.000
Cu3 0.500 0.000 0.643
Sn1 0.500 0.500 0.500
Ga2 0.500 0.000 0.879
Cu4 0.000 0.000 0.000
Ga3 0.000 0.000 0.500
Pr2 0.000 0.500 0.764

VASP calculation (PBE) on a relaxed Zr12ZnPb3 crystal.

Properties
The calculated volume comes out at 22.58 Å³ per atom. The value obtained for the total energy is -117.398 eV per cell. Its crystal system is orthorhombic. The formation energy comes out at -0.1513 eV/atom.

Lattice parameters (Å, degrees): 5.648 5.654 11.312 90.00 90.00 90.00
Atoms (fractional coordinates):
Zr1 0.245 0.500 0.500
Zr2 0.000 0.247 0.256
Pb1 0.500 0.500 0.751
Zr3 0.000 0.247 0.744
Zr4 0.250 0.500 0.000
Zr5 0.500 0.000 0.127
Pb2 0.000 0.000 0.000
Zr6 0.755 0.500 0.500
Zr7 0.500 0.000 0.621
Zr8 0.500 0.000 0.873
Zr9 0.000 0.753 0.256
Zr10 0.500 0.000 0.379
Zn1 0.000 0.000 0.500
Zr11 0.750 0.500 0.000
Pb3 0.500 0.500 0.249
Zr12 0.000 0.753 0.744

VASP calculation (PBE) on a relaxed LaMgCdSn crystal.

Properties
The calculated volume comes out at 26.82 Å³ per atom. The value obtained for the total energy is -13.236 eV per cell. Its crystal system is orthorhombic. The formation energy comes out at -0.4491 eV/atom.

Lattice parameters (Å, degrees): 4.571 4.716 4.976 90.00 90.00 90.00
Atoms (fractional coordinates):
Cd1 0.500 0.500 0.000
La1 0.000 0.500 0.500
Mg1 0.000 0.000 0.000
Sn1 0.500 0.000 0.500

VASP calculation (PBE) on a relaxed NiB crystal.

Properties
The calculated volume comes out at 8.85 Å³ per atom. The value obtained for the total energy is -47.360 eV per cell. Its crystal system is cubic. The formation energy comes out at 0.3094 eV/atom.

Lattice parameters (Å, degrees): 4.137 4.137 4.137 90.00 90.00 90.00
Atoms (fractional coordinates):
Ni1 0.000 0.500 0.000
B1 0.000 0.000 0.000
B2 0.000 0.500 0.500
Ni2 0.500 0.000 0.000
B3 0.500 0.000 0.500
Ni3 0.500 0.500 0.500
Ni4 0.000 0.000 0.500
B4 0.500 0.500 0.000

VASP calculation (PBE) on a relaxed Ac4Ir2Pb5 crystal.

Properties
The calculated volume comes out at 31.49 Å³ per atom. The value obtained for the total energy is -58.077 eV per cell. Its crystal system is monoclinic. The formation energy comes out at -0.4890 eV/atom.

Lattice parameters (Å, degrees): 4.227 8.329 9.848 92.58 90.00 90.00
Atoms (fractional coordinates):
Ac1 0.500 0.216 0.424
Pb1 0.000 0.552 0.338
Ac2 0.500 0.784 0.576
Pb2 0.000 0.448 0.662
Pb3 0.000 0.862 0.865
Pb4 0.000 0.500 0.000
Ac3 0.500 0.196 0.842
Pb5 0.000 0.138 0.135
Ir1 0.000 0.088 0.627
Ac4 0.500 0.804 0.158
Ir2 0.000 0.912 0.373

no.,ρ (g/cm3)
1,6.28
2,2.97
3,10.76
4,5.07
5,9.33
6,1.90
7,7.15
8,6.47
9,1.97
10,3.44
11,7.74
12,8.71
13,3.81
14,4.67
15,12.62
16,7.06
17,7.49
18,7.52
19,8.19
20,6.10
21,6.52
22,11.16